Density functional theory data (GGA-PBE) for a relaxed LaRe2PbC crystal.

Calculated values
Fermi-level density of states	7.0	states/eV/f.u.
energy	-0.19288	Ha/atom
formation energy	3.303	eV/atom

Lattice parameters (Å, degrees): 5.0231 6.0207 5.0231 90.00 90.00 90.00
Closest atoms and distances in Å follow each position.
Fractional coordinates of all 5 atoms:
1 La 0.0000 0.5000 0.0000  2 Pb 3.01
2 C 0.5000 0.5000 0.5000  4 La 3.55, 8 Re 3.92
3 Re 0.5000 0.0000 0.0000  2 Pb 2.51
4 Re 0.0000 0.0000 0.5000  2 Pb 2.51
5 Pb 0.0000 0.0000 0.0000  4 Re 2.51